[1]
This record from Alexandria via LeMat-Bulk describes a relaxed Tm2InHg4 crystal. The functional is PBE-GGA.

Cell lengths 5.0690, 5.0690, 24.1069 Å; angles 90.00, 90.00, 120.00 degrees
Space group R-3m (No. 166, hexagonal axes)
One atom of each set of equivalent atoms:
Tm  0.0000  0.0000  0.2425 x6
In  0.0000  0.0000  0.5000 x3
Hg  0.0000  0.0000  0.1094 x6
Hg  0.0000  0.0000  0.3673 x6

**Total moment**: 0.0 μB/cell
**Relative energy among the computed polymorphs**: 0.00 eV/f.u.
**DOS at the Fermi energy**: 0.6495 states/eV per atom
**Energy relative to the elements**: -0.26 eV per atom

***

[2]
This record from Alexandria via LeMat-Bulk describes a relaxed Rb6BrO2 crystal. The functional is PBE-GGA.

Cell lengths 14.707, 5.698, 10.630 Å; angles 90.00, 121.73, 90.00 degrees
Space group C2/m (No. 12)
One atom of each set of equivalent atoms:
Rb  0.025  0.000  0.177 x4
Rb  0.171  0.500  0.637 x4
Rb  0.210  0.500  0.064 x4
Br  0.000  0.000  0.500 x2
O  0.172  0.000  0.082 x4

**Total moment**: 0.0 μB/cell
**Relative energy among the computed polymorphs**: 0.00 eV/f.u.
**DOS at the Fermi energy**: 0.2108 states/eV per atom
**Uncorrected formation energy**: -994 meV per atom

***

- Look up the DOS at the Fermi energy of the first one.
  0.6495 states/eV per atom

***

- What is the relative energy among the computed polymorphs in the first record?
  0.00 eV/f.u.

***

- Number 2 is which compound?
  Rb6BrO2